The following is a GGA+U calculation of a relaxed structure of NaTl2MoO4, from the Alexandria database.

Lattice parameters (Å, degrees): 6.091 6.129 6.358 116.63 114.99 94.47
Atoms (fractional coordinates):
Na: 0.000 0.000 0.000
Tl: 0.567 0.708 0.115
Tl: 0.636 0.295 0.598
Mo: 0.244 0.738 0.512
O: 0.062 0.700 0.661
O: 0.102 0.891 0.327
O: 0.247 0.429 0.283
O: 0.569 0.943 0.785

Calculated values
- energy (eV/atom) = -5.40
- space-group type = P1 (1)